# 1
Entry from Alexandria: a relaxed structure of Sr2PdCl (GGA-PBE).

Cell: 4.3042 4.3042 8.1695 Å, 74.73 74.73 60.00°
Fractional coordinates of all 4 atoms:
Pd1 0.0000 0.0000 0.0000
Sr1 0.2587 0.2587 0.2240
Sr2 0.7413 0.7413 0.7760
Cl1 0.5000 0.5000 0.5000

As for the space group: R-3m. The calculation puts the energy above the lowest structure with this stoichiometry at 0 meV per atom. As for the crystal system: trigonal.

# 2
Entry from Alexandria: a relaxed structure of Sr2PdCl (GGA-PBE).

Cell: 6.8600 6.8600 8.3292 Å, 65.68 65.68 90.00°
Fractional coordinates of all 8 atoms:
Sr1 0.6330 0.1250 0.2500
Sr2 0.3750 0.3670 0.7500
Sr3 0.1170 0.6250 0.2500
Sr4 0.8750 0.8830 0.7500
Pd1 0.7500 0.2500 0.5000
Pd2 0.0000 0.0000 0.0000
Cl1 0.2500 0.7500 0.5000
Cl2 0.5000 0.5000 0.0000

As for the space group: I-42d. The calculation puts the energy above the lowest structure with this stoichiometry at 232 meV per atom. As for the crystal system: tetragonal.

# 3
Entry from Alexandria: a relaxed structure of SrPdCl (GGA-PBE).

Cell: 5.3296 3.7671 11.3437 Å, 90.00 90.00 135.02°
Fractional coordinates of all 6 atoms:
Sr1 0.7780 0.5560 0.1697
Sr2 0.7780 0.5560 0.8303
Cl1 0.2777 0.5554 0.7056
Cl2 0.2777 0.5554 0.2944
Pd1 0.2767 0.5534 0.5000
Pd2 0.2785 0.5570 0.0000

As for the space group: Amm2. As for the crystal system: orthorhombic.

# 4
Entry from Alexandria: a relaxed structure of Sr2PdCl (GGA-PBE).

Cell: 4.2743 4.2743 8.3358 Å, 75.14 75.14 60.00°
Fractional coordinates of all 4 atoms:
Sr1 0.0740 0.0740 0.7780
Sr2 0.2609 0.2609 0.2172
Pd1 0.6673 0.6673 0.9980
Cl1 0.4977 0.4977 0.5068

As for the space group: R3m. The calculation puts the energy above the lowest structure with this stoichiometry at 28 meV per atom. As for the crystal system: trigonal.

# 5
Entry from Alexandria: a relaxed structure of Sr2PdCl (GGA-PBE).

Cell: 5.4029 5.4029 5.4029 Å, 60.00 60.00 60.00°
Fractional coordinates of all 4 atoms:
Pd1 0.5000 0.5000 0.5000
Sr1 0.7500 0.7500 0.7500
Sr2 0.2500 0.2500 0.2500
Cl1 0.0000 0.0000 0.0000

As for the space group: Fm-3m. The calculation puts the energy above the lowest structure with this stoichiometry at 224 meV per atom. As for the crystal system: cubic.

# 6
Entry from Alexandria: a relaxed structure of SrPdCl5 (GGA-PBE).

Cell: 6.6012 7.6768 9.8080 Å, 108.45 90.00 115.46°
Fractional coordinates of all 14 atoms:
Cl1 0.3720 0.2573 0.6064
Cl2 0.1146 0.7427 0.8936
Cl3 0.6280 0.7427 0.3936
Cl4 0.6215 0.7529 0.9751
Cl5 0.8854 0.2573 0.1064
Cl6 0.9084 0.0000 0.7500
Cl7 0.1314 0.7529 0.4751
Cl8 0.3785 0.2471 0.0249
Cl9 0.0916 0.0000 0.2500
Cl10 0.8686 0.2471 0.5249
Sr1 0.4553 0.0000 0.7500
Sr2 0.5447 0.0000 0.2500
Pd1 0.0000 0.0000 0.5000
Pd2 0.0000 0.0000 0.0000

As for the space group: C2/c. The calculation puts the energy above the lowest structure with this stoichiometry at 0 meV per atom. As for the crystal system: monoclinic.

Number 1: formation energy (no corrections) -4.78 eV per formula unit. Number 2: formation energy (no corrections) -3.85 eV per formula unit. Number 3: formation energy (no corrections) -2.96 eV per formula unit. Number 4: formation energy (no corrections) -4.67 eV per formula unit. Number 5: formation energy (no corrections) -3.88 eV per formula unit. Number 6: formation energy (no corrections) -8.77 eV per formula unit.